Record 1
{"formula": "CuNi6Mo", "functional": "PBE", "state": "optimized geometry", "cell": [[3.606, 0.000, 0.000], [0.000, 3.606, 0.000], [0.000, 0.000, 7.083]], "species": ["Cu", "Ni", "Ni", "Ni", "Ni", "Ni", "Ni", "Mo"], "fractional_positions": [[0.000, 0.000, 0.000], [0.000, 0.500, 0.249], [0.000, 0.500, 0.751], [0.500, 0.000, 0.249], [0.500, 0.000, 0.751], [0.500, 0.500, 0.000], [0.500, 0.500, 0.500], [0.000, 0.000, 0.500]], "magmom_total_mub_per_cell": 0.0, "delta_e_f_ev_per_atom": -0.053, "de_polymorph_ev_per_fu": 0.00}

***

Record 2
{"formula": "Cs12BiH6", "functional": "PBE", "state": "optimized geometry", "cell": [[8.820, 5.092, 3.420], [-8.820, 5.092, 3.420], [0.000, -10.184, 3.420]], "species": ["Cs", "Cs", "Cs", "Cs", "Cs", "Cs", "Cs", "Cs", "Cs", "Cs", "Cs", "Cs", "Bi", "H", "H", "H", "H", "H", "H"], "fractional_positions": [[0.044, 0.316, 0.234], [0.146, 0.271, 0.663], [0.234, 0.044, 0.316], [0.271, 0.663, 0.146], [0.316, 0.234, 0.044], [0.337, 0.854, 0.729], [0.663, 0.146, 0.271], [0.684, 0.766, 0.956], [0.729, 0.337, 0.854], [0.766, 0.956, 0.684], [0.854, 0.729, 0.337], [0.956, 0.684, 0.766], [0.500, 0.500, 0.500], [0.046, 0.311, 0.934], [0.066, 0.954, 0.689], [0.311, 0.934, 0.046], [0.689, 0.066, 0.954], [0.934, 0.046, 0.311], [0.954, 0.689, 0.066]], "magmom_total_mub_per_cell": 2.0}

***

Record 3
{"formula": "Au8C", "functional": "PBE", "state": "optimized geometry", "cell": [[-4.355, 4.355, 2.059], [4.355, -4.355, 2.059], [4.355, 4.355, -2.059]], "species": ["Au", "Au", "Au", "Au", "Au", "Au", "Au", "Au", "C"], "fractional_positions": [[0.000, 0.329, 0.329], [0.000, 0.671, 0.671], [0.329, 0.000, 0.329], [0.337, 0.337, 0.674], [0.337, 0.663, 0.000], [0.663, 0.337, 0.000], [0.663, 0.663, 0.326], [0.671, 0.000, 0.671], [0.000, 0.000, 0.000]], "magmom_total_mub_per_cell": 0.0, "delta_e_f_ev_per_atom": 0.654}

***

Record 4
{"formula": "NdGdInPd", "functional": "PBE", "state": "optimized geometry", "cell": [[7.450, 0.000, 0.000], [0.000, 7.450, 0.000], [0.000, 0.000, 7.450]], "species": ["Nd", "Nd", "Nd", "Nd", "Gd", "Gd", "Gd", "Gd", "In", "In", "In", "In", "Pd", "Pd", "Pd", "Pd"], "fractional_positions": [[0.000, 0.000, 0.000], [0.000, 0.500, 0.500], [0.500, 0.000, 0.500], [0.500, 0.500, 0.000], [0.000, 0.000, 0.500], [0.000, 0.500, 0.000], [0.500, 0.000, 0.000], [0.500, 0.500, 0.500], [0.250, 0.250, 0.250], [0.250, 0.750, 0.750], [0.750, 0.250, 0.750], [0.750, 0.750, 0.250], [0.250, 0.250, 0.750], [0.250, 0.750, 0.250], [0.750, 0.250, 0.250], [0.750, 0.750, 0.750]], "magmom_total_mub_per_cell": 29.2, "delta_e_f_ev_per_atom": -0.555}

***

Record 5
{"formula": "Nb5Cd3Se12", "functional": "PBE", "state": "optimized geometry", "cell": [[-8.090, 8.090, 8.090], [8.090, -8.090, 8.090], [8.090, 8.090, -8.090]], "species": ["Nb", "Nb", "Nb", "Nb", "Nb", "Nb", "Nb", "Nb", "Nb", "Nb", "Nb", "Nb", "Nb", "Nb", "Nb", "Nb", "Nb", "Nb", "Nb", "Nb", "Cd", "Cd", "Cd", "Cd", "Cd", "Cd", "Cd", "Cd", "Cd", "Cd", "Cd", "Cd", "Se", "Se", "Se", "Se", "Se", "Se", "Se", "Se", "Se", "Se", "Se", "Se", "Se", "Se", "Se", "Se", "Se", "Se", "Se", "Se", "Se", "Se", "Se", "Se", "Se", "Se", "Se", "Se", "Se", "Se", "Se", "Se", "Se", "Se", "Se", "Se", "Se", "Se", "Se", "Se", "Se", "Se", "Se", "Se", "Se", "Se", "Se", "Se"], "fractional_positions": [[0.000, 0.000, 0.000], [0.000, 0.000, 0.500], [0.000, 0.500, 0.000], [0.000, 0.500, 0.500], [0.125, 0.750, 0.875], [0.125, 0.875, 0.250], [0.250, 0.125, 0.875], [0.250, 0.625, 0.375], [0.375, 0.250, 0.625], [0.375, 0.625, 0.750], [0.500, 0.000, 0.000], [0.500, 0.000, 0.500], [0.500, 0.500, 0.000], [0.500, 0.500, 0.500], [0.625, 0.375, 0.250], [0.625, 0.750, 0.375], [0.750, 0.375, 0.625], [0.750, 0.875, 0.125], [0.875, 0.125, 0.750], [0.875, 0.250, 0.125], [0.125, 0.250, 0.375], [0.125, 0.375, 0.750], [0.250, 0.375, 0.125], [0.250, 0.875, 0.625], [0.375, 0.125, 0.250], [0.375, 0.750, 0.125], [0.625, 0.250, 0.875], [0.625, 0.875, 0.750], [0.750, 0.125, 0.375], [0.750, 0.625, 0.875], [0.875, 0.625, 0.250], [0.875, 0.750, 0.625], [0.029, 0.209, 0.115], [0.029, 0.321, 0.915], [0.085, 0.615, 0.406], [0.085, 0.971, 0.679], [0.094, 0.709, 0.679], [0.094, 0.885, 0.415], [0.115, 0.029, 0.209], [0.115, 0.585, 0.906], [0.179, 0.209, 0.594], [0.179, 0.471, 0.585], [0.209, 0.115, 0.029], [0.209, 0.594, 0.179], [0.291, 0.321, 0.906], [0.291, 0.471, 0.385], [0.321, 0.906, 0.291], [0.321, 0.915, 0.029], [0.385, 0.291, 0.471], [0.385, 0.594, 0.915], [0.406, 0.085, 0.615], [0.406, 0.821, 0.791], [0.415, 0.094, 0.885], [0.415, 0.821, 0.529], [0.471, 0.385, 0.291], [0.471, 0.585, 0.179], [0.529, 0.415, 0.821], [0.529, 0.615, 0.709], [0.585, 0.179, 0.471], [0.585, 0.906, 0.115], [0.594, 0.179, 0.209], [0.594, 0.915, 0.385], [0.615, 0.406, 0.085], [0.615, 0.709, 0.529], [0.679, 0.085, 0.971], [0.679, 0.094, 0.709], [0.709, 0.529, 0.615], [0.709, 0.679, 0.094], [0.791, 0.406, 0.821], [0.791, 0.885, 0.971], [0.821, 0.529, 0.415], [0.821, 0.791, 0.406], [0.885, 0.415, 0.094], [0.885, 0.971, 0.791], [0.906, 0.115, 0.585], [0.906, 0.291, 0.321], [0.915, 0.029, 0.321], [0.915, 0.385, 0.594], [0.971, 0.679, 0.085], [0.971, 0.791, 0.885]], "magmom_total_mub_per_cell": 14.4, "raw_formation_energy_ev_per_atom": -0.37}

***

Record 6
{"formula": "RbAg2O2", "functional": "PBE", "state": "optimized geometry", "cell": [[-3.007, 3.007, 6.232], [3.007, -3.007, 6.232], [3.007, 3.007, -6.232]], "species": ["Rb", "Rb", "Ag", "Ag", "Ag", "Ag", "O", "O", "O", "O"], "fractional_positions": [[0.000, 0.000, 0.000], [0.750, 0.250, 0.500], [0.342, 0.606, 0.737], [0.356, 0.119, 0.763], [0.356, 0.592, 0.237], [0.869, 0.606, 0.263], [0.187, 0.451, 0.264], [0.187, 0.923, 0.736], [0.201, 0.437, 0.764], [0.673, 0.437, 0.236]], "magmom_total_mub_per_cell": 2.0, "de_polymorph_ev_per_fu": 0.67, "raw_formation_energy_ev_per_atom": -0.19}

***

Record 7
{"formula": "Pm2CuOs", "functional": "PBE", "state": "optimized geometry", "cell": [[3.481, 0.000, 0.000], [0.000, 3.481, 0.000], [0.000, 0.000, 7.361]], "species": ["Pm", "Pm", "Cu", "Os"], "fractional_positions": [[0.000, 0.000, 0.236], [0.000, 0.000, 0.764], [0.500, 0.500, 0.500], [0.500, 0.500, 0.000]], "magmom_total_mub_per_cell": 0.0, "delta_e_f_ev_per_atom": -0.086, "de_polymorph_ev_per_fu": 0.26}

***

Record 8
{"formula": "ReBO2", "functional": "PBE", "state": "optimized geometry", "cell": [[4.400, 0.000, 0.000], [0.000, 4.400, 0.000], [0.000, 0.000, 7.437]], "species": ["Re", "Re", "Re", "Re", "B", "B", "B", "B", "O", "O", "O", "O", "O", "O", "O", "O"], "fractional_positions": [[0.000, 0.000, 0.000], [0.000, 0.500, 0.250], [0.500, 0.000, 0.750], [0.500, 0.500, 0.500], [0.000, 0.000, 0.500], [0.000, 0.500, 0.750], [0.500, 0.000, 0.250], [0.500, 0.500, 0.000], [0.108, 0.250, 0.625], [0.250, 0.608, 0.875], [0.250, 0.892, 0.375], [0.392, 0.250, 0.125], [0.608, 0.750, 0.125], [0.750, 0.108, 0.375], [0.750, 0.392, 0.875], [0.892, 0.750, 0.625]], "magmom_total_mub_per_cell": 3.1, "raw_formation_energy_ev_per_atom": -0.42}

***

| no. | calculated total energy (eV per cell) |
| --- | --- |
| 1 | -50.04 |
| 2 | -36.01 |
| 3 | -29.56 |
| 4 | -116.00 |
| 5 | -409.62 |
| 6 | -35.03 |
| 7 | -25.17 |
| 8 | -122.90 |